No. 1
# Ti4Ga4Ge

A relaxed structure of Ti4Ga4Ge (PBE, Alexandria via LeMat-Bulk).

a = 5.1740 Å, b = 6.0377 Å, c = 6.0377 Å
α = 79.42°, β = 64.63°, γ = 64.63°
Element x y z (fractional)
Ti  0.6688  0.3842  0.2783
Ti  0.9470  0.7217  0.3842
Ti  0.0530  0.2783  0.6158
Ti  0.3312  0.6158  0.7217
Ga  0.2848  0.3155  0.1150
Ga  0.6002  0.1150  0.6845
Ga  0.3998  0.8850  0.3155
Ga  0.7152  0.6845  0.8850
Ge  0.0000  0.0000  0.0000

Values from the calculation:
magnetic moment = 0.00 μB per formula unit
energy relative to the elements = -240 meV per atom



No. 2
# AcYSiAu

A relaxed structure of AcYSiAu (PBE, Alexandria via LeMat-Bulk).

a = 5.3006 Å, b = 5.3006 Å, c = 5.3006 Å
α = 60.00°, β = 60.00°, γ = 60.00°
Element x y z (fractional)
Y  0.5000  0.5000  0.5000
Au  0.2500  0.2500  0.2500
Ac  0.0000  0.0000  0.0000
Si  0.7500  0.7500  0.7500

Values from the calculation:
magnetic moment = 0.39 μB per formula unit
energy relative to the elements, uncorrected = -2.26 eV/f.u.



No. 3
# Li2TcHgAs

A relaxed structure of Li2TcHgAs (PBE, Alexandria via LeMat-Bulk).

a = 5.0956 Å, b = 4.6580 Å, c = 5.0956 Å
α = 90.00°, β = 90.00°, γ = 90.00°
Element x y z (fractional)
As  0.0000  0.5000  0.0000
Li  0.5000  0.0000  0.0000
Li  0.0000  0.0000  0.5000
Hg  0.5000  0.5000  0.5000
Tc  0.0000  0.0000  0.0000

Values from the calculation:
magnetic moment = 0.95 μB per formula unit
energy relative to the elements = 416 meV per atom



No. 4
# HfZr4Sc2Ti

A relaxed structure of HfZr4Sc2Ti (PBE, Alexandria via LeMat-Bulk).

a = 4.4837 Å, b = 4.5020 Å, c = 9.9393 Å
α = 63.08°, β = 90.00°, γ = 90.00°
Element x y z (fractional)
Zr  0.0000  0.2546  0.2451
Zr  0.5000  0.7529  0.2466
Zr  0.0000  0.7454  0.7549
Zr  0.5000  0.2471  0.7534
Sc  0.5000  0.0000  0.5000
Sc  0.0000  0.0000  0.0000
Hf  0.0000  0.5000  0.5000
Ti  0.5000  0.5000  0.0000

Values from the calculation:
magnetic moment = 0.00 μB per formula unit
energy relative to the elements = 59 meV per atom



No. 5
# CaHoTm2

A relaxed structure of CaHoTm2 (PBE, Alexandria via LeMat-Bulk).

a = 5.0622 Å, b = 5.0463 Å, c = 5.0463 Å
α = 90.00°, β = 90.00°, γ = 90.00°
Element x y z (fractional)
Ca  0.5000  0.5000  0.5000
Tm  0.0000  0.0000  0.5000
Tm  0.0000  0.5000  0.0000
Ho  0.5000  0.0000  0.0000

Values from the calculation:
polymorph energy (0 for the lowest one) = 0.081 eV per atom
magnetic moment = 0.00 μB per formula unit
energy relative to the elements = 156 meV per atom



No. 6
# Pm4ThSe6

A relaxed structure of Pm4ThSe6 (PBE, Alexandria via LeMat-Bulk).

a = 4.1114 Å, b = 7.1818 Å, c = 21.0279 Å
α = 90.00°, β = 90.00°, γ = 106.63°
Element x y z (fractional)
Pm  0.1402  0.2804  0.4618
Pm  0.8598  0.7196  0.9618
Pm  0.5856  0.1713  0.8741
Pm  0.4144  0.8287  0.3741
Pm  0.5856  0.1713  0.6259
Pm  0.4144  0.8287  0.1259
Pm  0.8598  0.7196  0.5382
Pm  0.1402  0.2804  0.0382
Se  0.0548  0.1096  0.1689
Se  0.6901  0.3802  0.7500
Se  0.3099  0.6198  0.2500
Se  0.5000  0.0000  0.5000
Se  0.0548  0.1096  0.3311
Se  0.2321  0.4642  0.9054
Se  0.7679  0.5358  0.0946
Se  0.2321  0.4642  0.5946
Se  0.7679  0.5358  0.4054
Se  0.9452  0.8904  0.8311
Se  0.9452  0.8904  0.6689
Se  0.5000  0.0000  0.0000
Th  0.6561  0.3121  0.2500
Th  0.3439  0.6879  0.7500

Values from the calculation:
magnetic moment = 0.00 μB per formula unit
energy relative to the elements, uncorrected = -19.79 eV/f.u.



No. 7
# Nd3Er4Au4

A relaxed structure of Nd3Er4Au4 (PBE, Alexandria via LeMat-Bulk).

a = 4.8501 Å, b = 7.7747 Å, c = 9.1007 Å
α = 115.29°, β = 105.45°, γ = 90.00°
Element x y z (fractional)
Er  0.3268  0.1142  0.6536
Er  0.6732  0.8858  0.3464
Er  0.3268  0.5395  0.6536
Er  0.6732  0.4605  0.3464
Nd  0.8962  0.8962  0.7925
Nd  0.0000  0.5000  0.0000
Nd  0.1038  0.1038  0.2075
Au  0.2078  0.7078  0.4155
Au  0.5000  0.1904  0.0000
Au  0.7922  0.2922  0.5845
Au  0.5000  0.8096  0.0000

Values from the calculation:
magnetic moment = 0.00 μB per formula unit
energy relative to the elements = -591 meV per atom



No. 8
# TlSi2SbSe

A relaxed structure of TlSi2SbSe (PBE, Alexandria via LeMat-Bulk).

a = 5.1354 Å, b = 5.8750 Å, c = 5.1354 Å
α = 90.00°, β = 90.00°, γ = 90.00°
Element x y z (fractional)
Tl  0.0000  0.0000  0.0000
Sb  0.0000  0.5000  0.0000
Si  0.5000  0.0000  0.0000
Si  0.0000  0.0000  0.5000
Se  0.5000  0.5000  0.5000

Values from the calculation:
magnetic moment = 0.00 μB per formula unit
energy relative to the elements, uncorrected = 6.60 eV/f.u.



No. 9
# La3Dy4Bi8

A relaxed structure of La3Dy4Bi8 (PBE, Alexandria via LeMat-Bulk).

a = 9.0378 Å, b = 9.1389 Å, c = 9.1389 Å
α = 90.10°, β = 119.56°, γ = 119.56°
Element x y z (fractional)
Dy  0.0000  0.0000  0.5000
Dy  0.5000  0.0000  0.0000
Dy  0.0000  0.5000  0.0000
Dy  0.0000  0.0000  0.0000
Bi  0.4954  0.2423  0.2423
Bi  0.5046  0.7577  0.7577
Bi  0.5000  0.2457  0.7543
Bi  0.0000  0.2492  0.7508
Bi  0.0106  0.7546  0.7546
Bi  0.5000  0.7543  0.2457
Bi  0.0000  0.7508  0.2492
Bi  0.9894  0.2454  0.2454
La  0.5000  0.5000  0.5000
La  0.5000  0.5000  0.0000
La  0.5000  0.0000  0.5000

Values from the calculation:
magnetic moment = 0.00 μB per formula unit
energy relative to the elements = -719 meV per atom



No. 10
# TmTaNiRh

A relaxed structure of TmTaNiRh (PBE, Alexandria via LeMat-Bulk).

a = 4.5865 Å, b = 4.5865 Å, c = 4.5865 Å
α = 60.00°, β = 60.00°, γ = 60.00°
Element x y z (fractional)
Ta  0.7500  0.7500  0.7500
Tm  0.2500  0.2500  0.2500
Ni  0.0000  0.0000  0.0000
Rh  0.5000  0.5000  0.5000

Values from the calculation:
magnetic moment = 0.00 μB per formula unit
energy relative to the elements = -335 meV per atom



No. 11
# Ni12IrPt3

A relaxed structure of Ni12IrPt3 (PBE, Alexandria via LeMat-Bulk).

a = 3.6440 Å, b = 3.6440 Å, c = 14.6296 Å
α = 90.00°, β = 90.00°, γ = 90.00°
Element x y z (fractional)
Ir  0.0000  0.0000  0.0000
Ni  0.5000  0.0000  0.1225
Ni  0.5000  0.5000  0.5000
Ni  0.0000  0.5000  0.8775
Ni  0.5000  0.5000  0.0000
Ni  0.0000  0.5000  0.3745
Ni  0.5000  0.0000  0.6255
Ni  0.5000  0.0000  0.8775
Ni  0.0000  0.5000  0.6255
Ni  0.5000  0.0000  0.3745
Ni  0.5000  0.5000  0.2487
Ni  0.0000  0.5000  0.1225
Ni  0.5000  0.5000  0.7513
Pt  0.0000  0.0000  0.2492
Pt  0.0000  0.0000  0.7508
Pt  0.0000  0.0000  0.5000

Values from the calculation:
magnetic moment = 9.78 μB per formula unit
energy relative to the elements = -43 meV per atom



No. 12
# Ac6CuHg5

A relaxed structure of Ac6CuHg5 (PBE, Alexandria via LeMat-Bulk).

a = 5.6660 Å, b = 8.0581 Å, c = 8.9680 Å
α = 90.00°, β = 108.32°, γ = 90.00°
Element x y z (fractional)
Ac  0.8391  0.7551  0.6766
Ac  0.1609  0.7552  0.3234
Ac  0.8391  0.2448  0.6766
Ac  0.5000  0.7607  0.0000
Ac  0.5000  0.2393  0.0000
Ac  0.1609  0.2449  0.3234
Cu  0.0000  0.0000  0.0000
Hg  0.6692  0.0000  0.3405
Hg  0.3334  0.5000  0.6649
Hg  0.0000  0.5000  0.0000
Hg  0.6666  0.5000  0.3351
Hg  0.3308  0.0000  0.6595

Values from the calculation:
magnetic moment = 0.00 μB per formula unit
energy relative to the elements = -402 meV per atom



No. 13
# CaAgBiF6

A relaxed structure of CaAgBiF6 (PBE, Alexandria via LeMat-Bulk).

a = 5.4046 Å, b = 5.4046 Å, c = 11.1172 Å
α = 90.00°, β = 90.00°, γ = 90.00°
Element x y z (fractional)
F  0.2975  0.2975  0.3494
F  0.2025  0.7975  0.8494
F  0.2025  0.7975  0.4831
F  0.1823  0.8177  0.1664
F  0.2975  0.2975  0.9831
F  0.7975  0.2025  0.4831
F  0.6823  0.6823  0.6664
F  0.7025  0.7025  0.3494
F  0.3177  0.3177  0.6664
F  0.8177  0.1823  0.1664
F  0.7025  0.7025  0.9831
F  0.7975  0.2025  0.8494
Ag  0.5000  0.5000  0.1679
Ag  0.0000  0.0000  0.6679
Ca  0.0000  0.0000  0.0005
Ca  0.5000  0.5000  0.5005
Bi  0.0000  0.0000  0.3338
Bi  0.5000  0.5000  0.8338

Values from the calculation:
magnetic moment = 0.00 μB per formula unit
energy relative to the elements, uncorrected = -23.43 eV/f.u.



No. 14
# CeNpHgO6

A relaxed structure of CeNpHgO6 (PBE, Alexandria via LeMat-Bulk).

a = 5.9264 Å, b = 5.9264 Å, c = 9.3230 Å
α = 90.00°, β = 90.00°, γ = 120.00°
Element x y z (fractional)
O  0.0234  0.3724  0.6379
O  0.9766  0.6276  0.3621
O  0.0234  0.6510  0.8621
O  0.6276  0.6510  0.6379
O  0.3724  0.3490  0.3621
O  0.3490  0.9766  0.6379
O  0.3724  0.0234  0.1379
O  0.3490  0.3724  0.8621
O  0.9766  0.3490  0.1379
O  0.6276  0.9766  0.8621
O  0.6510  0.0234  0.3621
O  0.6510  0.6276  0.1379
Ce  0.3333  0.6667  0.2500
Ce  0.6667  0.3333  0.7500
Hg  0.0000  0.0000  0.0000
Hg  0.0000  0.0000  0.5000
Np  0.3333  0.6667  0.7500
Np  0.6667  0.3333  0.2500

Values from the calculation:
magnetic moment = 1.12 μB per formula unit
energy relative to the elements, uncorrected = -20.81 eV/f.u.



No. 15
# BeTcIr2

A relaxed structure of BeTcIr2 (PBE, Alexandria via LeMat-Bulk).

a = 4.6012 Å, b = 4.6012 Å, c = 4.5781 Å
α = 79.70°, β = 79.70°, γ = 34.69°
Element x y z (fractional)
Tc  0.4971  0.4971  0.5241
Ir  0.7481  0.7481  0.7151
Ir  0.9975  0.9975  0.0476
Be  0.2572  0.2572  0.2133

Values from the calculation:
magnetic moment = 0.00 μB per formula unit
energy relative to the elements = -118 meV per atom



No. 16
# Ce2SmThSb4

A relaxed structure of Ce2SmThSb4 (PBE, Alexandria via LeMat-Bulk).

a = 4.4932 Å, b = 7.8164 Å, c = 7.7709 Å
α = 70.61°, β = 90.00°, γ = 90.00°
Element x y z (fractional)
Sb  0.0000  0.2508  0.2490
Sb  0.0000  0.7492  0.7510
Sb  0.5000  0.2502  0.7512
Sb  0.5000  0.7498  0.2488
Ce  0.5000  0.0000  0.5000
Ce  0.0000  0.0000  0.0000
Sm  0.5000  0.5000  0.0000
Th  0.0000  0.5000  0.5000

Values from the calculation:
magnetic moment = 1.85 μB per formula unit
energy relative to the elements, uncorrected = -8.48 eV/f.u.



No. 17
# FeHgAu2

A relaxed structure of FeHgAu2 (PBE, Alexandria via LeMat-Bulk).

a = 3.9390 Å, b = 3.9390 Å, c = 10.2939 Å
α = 78.97°, β = 78.97°, γ = 90.00°
Element x y z (fractional)
Au  0.3750  0.3817  0.7500
Au  0.1317  0.6250  0.2500
Au  0.8750  0.8683  0.7500
Au  0.6183  0.1250  0.2500
Fe  0.5000  0.5000  0.0000
Fe  0.2500  0.7500  0.5000
Hg  0.7500  0.2500  0.5000
Hg  0.0000  0.0000  0.0000

Values from the calculation:
magnetic moment = 3.02 μB per formula unit
energy relative to the elements = 393 meV per atom



No. 18
# NdIn3Au3

A relaxed structure of NdIn3Au3 (PBE, Alexandria via LeMat-Bulk).

a = 4.8684 Å, b = 7.9397 Å, c = 8.9481 Å
α = 108.28°, β = 90.00°, γ = 90.00°
Element x y z (fractional)
In  0.7500  0.2858  0.3034
In  0.2500  0.2058  0.9741
In  0.7500  0.9764  0.7684
In  0.7500  0.7942  0.0259
In  0.2500  0.7142  0.6966
In  0.2500  0.0236  0.2316
Au  0.2500  0.3543  0.4900
Au  0.7500  0.9332  0.3779
Au  0.2500  0.0668  0.6221
Au  0.7500  0.6457  0.5100
Au  0.7500  0.4439  0.0693
Au  0.2500  0.5561  0.9307
Nd  0.7500  0.3737  0.7100
Nd  0.2500  0.6263  0.2900

Values from the calculation:
polymorph energy (0 for the lowest one) = 0.000 eV per atom
magnetic moment = 0.00 μB per formula unit
energy relative to the elements = -407 meV per atom



No. 19
# Sn3WI

A relaxed structure of Sn3WI (PBE, Alexandria via LeMat-Bulk).

a = 5.3513 Å, b = 5.3513 Å, c = 5.3513 Å
α = 90.00°, β = 90.00°, γ = 90.00°
Element x y z (fractional)
I  0.5000  0.5000  0.5000
Sn  0.5000  0.0000  0.0000
Sn  0.0000  0.0000  0.5000
Sn  0.0000  0.5000  0.0000
W  0.0000  0.0000  0.0000

Values from the calculation:
polymorph energy (0 for the lowest one) = 0.000 eV per atom
magnetic moment = 0.00 μB per formula unit
energy relative to the elements, uncorrected = 1.37 eV/f.u.



No. 20
# MgIn2Hg5Pb2

A relaxed structure of MgIn2Hg5Pb2 (PBE, Alexandria via LeMat-Bulk).

a = 3.4190 Å, b = 12.5016 Å, c = 12.5016 Å
α = 90.00°, β = 90.00°, γ = 90.00°
Element x y z (fractional)
Pb  0.0000  0.6673  0.1673
Pb  0.0000  0.8327  0.6673
Pb  0.0000  0.3327  0.8327
Pb  0.0000  0.1673  0.3327
Hg  0.5000  0.6908  0.4840
Hg  0.5000  0.3092  0.5160
Hg  0.5000  0.4840  0.3092
Hg  0.5000  0.9840  0.1908
Hg  0.5000  0.1908  0.0160
Hg  0.5000  0.5160  0.6908
Hg  0.5000  0.5000  0.0000
Hg  0.5000  0.8092  0.9840
Hg  0.5000  0.0000  0.5000
Hg  0.5000  0.0160  0.8092
Mg  0.0000  0.5000  0.5000
Mg  0.0000  0.0000  0.0000
In  0.0000  0.6495  0.8505
In  0.0000  0.8505  0.3505
In  0.0000  0.3505  0.1495
In  0.0000  0.1495  0.6495

Values from the calculation:
magnetic moment = 0.00 μB per formula unit
energy relative to the elements = 5 meV per atom